# 1
First-principles (PBE-GGA) data for a geometry-optimized Al2Ir2Rh structure, as listed in Alexandria.

Lattice parameters (Å, degrees): 7.1464 7.1464 2.8323 90.00 90.00 90.00
Last column: nearest neighbours and their distance in Å.
Fractional coordinates of all 10 atoms:
Al  0.1405  0.3595  0.0000  6 Ir 2.48-2.56, 2 Rh 2.76
Al  0.3595  0.8595  0.0000  6 Ir 2.48-2.56, 2 Rh 2.76
Al  0.6405  0.1405  0.0000  6 Ir 2.48-2.56, 2 Rh 2.76
Al  0.8595  0.6405  0.0000  6 Ir 2.48-2.56, 2 Rh 2.76
Ir  0.1582  0.6582  0.5000  6 Al 2.48-2.56
Ir  0.3418  0.1582  0.5000  6 Al 2.48-2.56
Ir  0.6582  0.8418  0.5000  6 Al 2.48-2.56
Ir  0.8418  0.3418  0.5000  6 Al 2.48-2.56
Rh  0.0000  0.0000  0.0000  4 Al 2.76, 2 Rh 2.83, 8 Ir 3.04
Rh  0.5000  0.5000  0.0000  4 Al 2.76, 2 Rh 2.83, 8 Ir 3.04

Spin magnetization (μB/cell): 0.0
Calculated density (g/cm³): 12.43
Excess energy over the best structure of this formula in the dataset (eV per atom): 0.000
SG: P4/mbm

# 2
First-principles (PBE-GGA) data for a geometry-optimized Al4IrRh structure, as listed in Alexandria.

Lattice parameters (Å, degrees): 4.6728 4.6728 5.8829 108.32 108.32 45.19
Last column: nearest neighbours and their distance in Å.
Fractional coordinates of all 6 atoms:
Al  0.1605  0.1605  0.3310  5 Al 2.62-2.73, 3 Rh 2.66-2.75, 2 Ir 2.66
Al  0.1622  0.1622  0.8305  5 Al 2.62-2.73, 2 Rh 2.67, 3 Ir 2.67-2.74
Al  0.8378  0.8378  0.1695  5 Al 2.62-2.73, 2 Rh 2.67, 3 Ir 2.67-2.74
Al  0.8395  0.8395  0.6690  5 Al 2.62-2.73, 3 Rh 2.66-2.75, 2 Ir 2.66
Ir  0.5000  0.5000  0.0000  10 Al 2.66-2.74, 2 Rh 2.94
Rh  0.5000  0.5000  0.5000  10 Al 2.66-2.75, 2 Ir 2.94

Spin magnetization (μB/cell): 0.0
Calculated density (g/cm³): 7.81
Excess energy over the best structure of this formula in the dataset (eV per atom): 0.000
SG: C2/m

# 3
First-principles (PBE-GGA) data for a geometry-optimized AlIr2Rh structure, as listed in Alexandria.

Lattice parameters (Å, degrees): 2.7568 2.7568 8.8090 90.00 90.00 119.25
Last column: nearest neighbours and their distance in Å.
Fractional coordinates of all 4 atoms:
Al  0.0000  0.0000  0.0000  4 Ir 2.49, 6 Al 2.76-2.79
Ir  0.5000  0.5000  0.2342  2 Al 2.49, 2 Rh 2.73, 6 Ir 2.76-2.79
Ir  0.5000  0.5000  0.7658  2 Al 2.49, 2 Rh 2.73, 6 Ir 2.76-2.79
Rh  0.0000  0.0000  0.5000  4 Ir 2.73, 6 Rh 2.76-2.79

Spin magnetization (μB/cell): 0.0
Total energy (eV per atom): -7.320
Calculated density (g/cm³): 14.62
SG: Cmmm

# 4
First-principles (PBE-GGA) data for a geometry-optimized AlIrRh2 structure, as listed in Alexandria.

Lattice parameters (Å, degrees): 5.1544 5.1544 5.1544 147.27 129.49 61.50
Last column: nearest neighbours and their distance in Å.
Fractional coordinates of all 4 atoms:
Al  0.0000  0.0000  0.0000  4 Rh 2.48, 4 Ir 2.64
Ir  0.5000  0.5000  0.0000  4 Al 2.64, 4 Rh 2.82, 2 Ir 2.90
Rh  0.2272  0.7272  0.5000  2 Al 2.48, 4 Rh 2.67
Rh  0.7728  0.2728  0.5000  2 Al 2.48, 4 Rh 2.67

Spin magnetization (μB/cell): 0.0
Total energy (eV per atom): -7.149
Calculated density (g/cm³): 12.47
SG: Immm

# 5
First-principles (PBE-GGA) data for a geometry-optimized Al4Ir3Rh structure, as listed in Alexandria.

Lattice parameters (Å, degrees): 6.7456 6.7456 6.7456 143.18 143.18 53.06
Last column: nearest neighbours and their distance in Å.
Fractional coordinates of all 8 atoms:
Al  0.1242  0.6242  0.5000  6 Ir 2.60-2.62, 2 Rh 2.60
Al  0.3758  0.8758  0.5000  2 Rh 2.60, 6 Ir 2.60-2.62
Al  0.6242  0.1242  0.5000  6 Ir 2.60-2.62, 2 Rh 2.60
Al  0.8758  0.3758  0.5000  2 Rh 2.60, 6 Ir 2.60-2.62
Ir  0.0000  0.0000  0.0000  8 Al 2.60
Ir  0.2497  0.2497  0.0000  8 Al 2.61-2.62
Ir  0.7503  0.7503  0.0000  8 Al 2.61-2.62
Rh  0.5000  0.5000  0.0000  8 Al 2.60

Spin magnetization (μB/cell): 0.0
Total energy (eV per atom): -7.096
Calculated density (g/cm³): 11.93
SG: I4/mmm

# 6
First-principles (PBE-GGA) data for a geometry-optimized Al3IrRh structure, as listed in Alexandria.

Lattice parameters (Å, degrees): 4.6212 4.6212 4.6212 90.00 90.00 90.00
Last column: nearest neighbours and their distance in Å.
Fractional coordinates of all 5 atoms:
Al  0.0000  0.0000  0.5000  2 Ir 2.31
Al  0.0000  0.5000  0.0000  2 Ir 2.31
Al  0.5000  0.0000  0.0000  2 Ir 2.31
Ir  0.0000  0.0000  0.0000  6 Al 2.31
Rh  0.5000  0.5000  0.5000  12 Al 3.27

Spin magnetization (μB/cell): 0.0
Calculated density (g/cm³): 6.33
Excess energy over the best structure of this formula in the dataset (eV per atom): 0.000
SG: Pm-3m

# 7
First-principles (PBE-GGA) data for a geometry-optimized Al2IrRh structure, as listed in Alexandria.

Lattice parameters (Å, degrees): 8.5621 8.5621 8.5621 19.20 19.20 19.20
Last column: nearest neighbours and their distance in Å.
Fractional coordinates of all 4 atoms:
Al  0.0000  0.0000  0.0000  3 Ir 2.53
Al  0.2416  0.2416  0.2416  3 Rh 2.50
Ir  0.7426  0.7426  0.7426  3 Al 2.53, 3 Rh 2.82
Rh  0.5003  0.5003  0.5003  3 Al 2.50

Spin magnetization (μB/cell): 0.0
Calculated density (g/cm³): 9.77
Excess energy over the best structure of this formula in the dataset (eV per atom): 0.667
SG: R3m

# 8
First-principles (PBE-GGA) data for a geometry-optimized AlIrRh2 structure, as listed in Alexandria.

Lattice parameters (Å, degrees): 8.6327 8.6327 8.6327 18.51 18.51 18.51
Last column: nearest neighbours and their distance in Å.
Fractional coordinates of all 4 atoms:
Al  0.0000  0.0000  0.0000  6 Rh 2.58, 6 Al 2.78
Ir  0.5000  0.5000  0.5000  6 Rh 2.74, 6 Ir 2.78
Rh  0.2538  0.2538  0.2538  3 Al 2.58, 3 Ir 2.74, 6 Rh 2.78
Rh  0.7462  0.7462  0.7462  3 Al 2.58, 3 Ir 2.74, 6 Rh 2.78

Spin magnetization (μB/cell): 0.0
Total energy (eV per atom): -7.166
Calculated density (g/cm³): 12.46
SG: R-3m

# 9
First-principles (PBE-GGA) data for a geometry-optimized Al2IrRh structure, as listed in Alexandria.

Lattice parameters (Å, degrees): 4.8568 4.8568 4.3367 104.87 104.87 34.90
Last column: nearest neighbours and their distance in Å.
Fractional coordinates of all 4 atoms:
Al  0.0000  0.0000  0.0000  3 Ir 2.59, 4 Rh 2.59-2.63
Al  0.2375  0.2375  0.6149  3 Rh 2.58-2.59, 4 Ir 2.59-2.63
Ir  0.7391  0.7391  0.1108  7 Al 2.59-2.63
Rh  0.4977  0.4977  0.5049  7 Al 2.58-2.63

Spin magnetization (μB/cell): 0.0
Calculated density (g/cm³): 10.28
Excess energy over the best structure of this formula in the dataset (eV per atom): 0.180
SG: Cm

# 10
First-principles (PBE-GGA) data for a geometry-optimized AlIr2Rh structure, as listed in Alexandria.

Lattice parameters (Å, degrees): 4.6764 4.6764 4.6764 131.00 131.00 71.81
Last column: nearest neighbours and their distance in Å.
Fractional coordinates of all 4 atoms:
Al  0.0000  0.0000  0.0000  4 Rh 2.71, 8 Ir 2.71-2.74
Ir  0.2500  0.7500  0.5000  4 Ir 2.71, 4 Al 2.71, 4 Rh 2.74
Ir  0.5000  0.5000  0.0000  4 Rh 2.71, 4 Ir 2.71, 4 Al 2.74
Rh  0.7500  0.2500  0.5000  8 Ir 2.71-2.74, 4 Al 2.71

Spin magnetization (μB/cell): 0.0
Total energy (eV per atom): -7.635
Calculated density (g/cm³): 14.99
SG: I-4m2

# 11
First-principles (PBE-GGA) data for a geometry-optimized AlIr2Rh structure, as listed in Alexandria.

Lattice parameters (Å, degrees): 8.6369 8.6369 8.6369 18.61 18.61 18.61
Last column: nearest neighbours and their distance in Å.
Fractional coordinates of all 4 atoms:
Al  0.0000  0.0000  0.0000  6 Ir 2.59, 6 Al 2.79
Ir  0.2536  0.2536  0.2536  3 Al 2.59, 3 Rh 2.74, 6 Ir 2.79
Ir  0.7464  0.7464  0.7464  3 Al 2.59, 3 Rh 2.74, 6 Ir 2.79
Rh  0.5000  0.5000  0.5000  6 Ir 2.74, 6 Rh 2.79

Spin magnetization (μB/cell): 0.0
Total energy (eV per atom): -7.492
Calculated density (g/cm³): 14.90
SG: R-3m

# 12
First-principles (PBE-GGA) data for a geometry-optimized Al4IrRh2 structure, as listed in Alexandria.

Lattice parameters (Å, degrees): 5.1629 5.1629 4.2462 90.00 90.00 111.35
Last column: nearest neighbours and their distance in Å.
Fractional coordinates of all 7 atoms:
Al  0.0000  0.5000  0.5000  4 Rh 2.58, 2 Ir 2.58
Al  0.2318  0.2318  0.0000  4 Rh 2.58-2.59, 2 Ir 2.64, 1 Al 2.70
Al  0.5000  0.0000  0.5000  4 Rh 2.58, 2 Ir 2.58
Al  0.7682  0.7682  0.0000  4 Rh 2.58-2.59, 2 Ir 2.64, 1 Al 2.70
Ir  0.5000  0.5000  0.5000  8 Al 2.58-2.64
Rh  0.2576  0.7424  0.0000  8 Al 2.58-2.59
Rh  0.7424  0.2576  0.0000  8 Al 2.58-2.59

Spin magnetization (μB/cell): 0.0
Total energy (eV per atom): -6.404
Calculated density (g/cm³): 7.97
SG: Cmmm